No. 1
Compound: SrPm2SnN4
Source: Alexandria via LeMat-Bulk
Functional: PBE
Structure: relaxed

abc: 6.470 6.470 12.532
angles: 90.00 90.00 147.93
Fractional coordinates of all 16 atoms:
Sr1 0.106 0.894 0.750
Sr2 0.894 0.106 0.250
Pm1 0.370 0.630 0.532
Pm2 0.370 0.630 0.968
Pm3 0.630 0.370 0.032
Pm4 0.630 0.370 0.468
Sn1 0.160 0.840 0.250
Sn2 0.840 0.160 0.750
N1 0.000 0.000 0.000
N2 0.000 0.000 0.500
N3 0.259 0.741 0.118
N4 0.259 0.741 0.382
N5 0.438 0.562 0.750
N6 0.562 0.438 0.250
N7 0.741 0.259 0.618
N8 0.741 0.259 0.882

Properties
M_tot ... 0.00 μB/f.u.
Energy relative to the elements, uncorrected ... -0.80 eV per atom
SG ... No. 63
ρ ... 6.59 g/cm3


No. 2
Compound: Pm2TaSnN5
Source: Alexandria via LeMat-Bulk
Functional: PBE
Structure: relaxed

abc: 7.256 7.256 10.563
angles: 90.00 90.00 153.53
Fractional coordinates of all 18 atoms:
Pm1 0.117 0.883 0.500
Pm2 0.134 0.866 0.073
Pm3 0.866 0.134 0.573
Pm4 0.883 0.117 0.000
Ta1 0.226 0.774 0.798
Ta2 0.774 0.226 0.298
Sn1 0.482 0.518 0.265
Sn2 0.518 0.482 0.765
N1 0.069 0.931 0.851
N2 0.281 0.719 0.432
N3 0.299 0.701 0.170
N4 0.366 0.634 0.798
N5 0.499 0.501 0.571
N6 0.501 0.499 0.071
N7 0.634 0.366 0.298
N8 0.701 0.299 0.670
N9 0.719 0.281 0.932
N10 0.931 0.069 0.351

Properties
M_tot ... 0.00 μB/f.u.
Energy relative to the elements, uncorrected ... -0.89 eV per atom
SG ... No. 36
DOS at the Fermi energy ... 0.1 states/eV per cell
ρ ... 8.84 g/cm3


No. 3
Compound: Tb2PmSnN4
Source: Alexandria via LeMat-Bulk
Functional: PBE
Structure: relaxed

abc: 6.175 6.175 12.140
angles: 90.00 90.00 146.52
Fractional coordinates of all 16 atoms:
Tb1 0.129 0.871 0.535
Tb2 0.129 0.871 0.965
Tb3 0.871 0.129 0.035
Tb4 0.871 0.129 0.465
Pm1 0.381 0.619 0.750
Pm2 0.619 0.381 0.250
Sn1 0.356 0.644 0.250
Sn2 0.644 0.356 0.750
N1 0.045 0.955 0.750
N2 0.234 0.766 0.123
N3 0.234 0.766 0.377
N4 0.500 0.500 0.000
N5 0.500 0.500 0.500
N6 0.766 0.234 0.623
N7 0.766 0.234 0.877
N8 0.955 0.045 0.250

Properties
M_tot ... 0.00 μB/f.u.
Energy relative to the elements, uncorrected ... -0.87 eV per atom
SG ... No. 63
DOS at the Fermi energy ... 3.8 states/eV per cell
ρ ... 8.29 g/cm3


No. 4
Compound: TbPm2SnN
Source: Alexandria via LeMat-Bulk
Functional: PBE
Structure: relaxed

abc: 4.971 4.971 4.822
angles: 90.00 90.00 90.00
Fractional coordinates of all 5 atoms:
Tb1 0.000 0.000 0.000
Pm1 0.000 0.500 0.500
Pm2 0.500 0.000 0.500
Sn1 0.500 0.500 0.000
N1 0.000 0.000 0.500

Properties
M_tot ... 0.00 μB/f.u.
Energy relative to the elements, uncorrected ... -1.01 eV per atom
SG ... No. 123
DOS at the Fermi energy ... 1.9 states/eV per cell
ρ ... 8.11 g/cm3


No. 5
Compound: Pm2TcSnN5
Source: Alexandria via LeMat-Bulk
Functional: PBE
Structure: relaxed

abc: 7.317 7.317 10.120
angles: 90.00 90.00 153.35
Fractional coordinates of all 18 atoms:
Pm1 0.114 0.886 0.500
Pm2 0.141 0.859 0.114
Pm3 0.859 0.141 0.614
Pm4 0.886 0.114 0.000
Tc1 0.477 0.523 0.270
Tc2 0.523 0.477 0.770
Sn1 0.217 0.783 0.823
Sn2 0.783 0.217 0.323
N1 0.040 0.960 0.853
N2 0.285 0.715 0.472
N3 0.325 0.675 0.189
N4 0.368 0.632 0.813
N5 0.492 0.508 0.593
N6 0.508 0.492 0.093
N7 0.632 0.368 0.313
N8 0.675 0.325 0.689
N9 0.715 0.285 0.972
N10 0.960 0.040 0.353

Properties
M_tot ... 0.00 μB/f.u.
Energy relative to the elements, uncorrected ... -0.51 eV per atom
SG ... No. 36
DOS at the Fermi energy ... 3.8 states/eV per cell
ρ ... 7.88 g/cm3


No. 6
Compound: PmTh2SnN5
Source: Alexandria via LeMat-Bulk
Functional: PBE
Structure: relaxed

abc: 7.338 7.338 11.816
angles: 90.00 90.00 151.47
Fractional coordinates of all 18 atoms:
Pm1 0.239 0.761 0.500
Pm2 0.761 0.239 0.000
Th1 0.131 0.869 0.751
Th2 0.136 0.864 0.230
Th3 0.864 0.136 0.730
Th4 0.869 0.131 0.251
Sn1 0.497 0.503 0.999
Sn2 0.503 0.497 0.499
N1 0.068 0.932 0.552
N2 0.279 0.721 0.851
N3 0.284 0.716 0.155
N4 0.382 0.618 0.602
N5 0.464 0.536 0.329
N6 0.536 0.464 0.829
N7 0.618 0.382 0.102
N8 0.716 0.284 0.655
N9 0.721 0.279 0.351
N10 0.932 0.068 0.052

Properties
M_tot ... 0.00 μB/f.u.
Energy relative to the elements, uncorrected ... -1.05 eV per atom
SG ... No. 36
ρ ... 8.72 g/cm3


No. 7
Compound: Pm2Th4Sn3N2
Source: Alexandria via LeMat-Bulk
Functional: PBE
Structure: relaxed

abc: 13.519 13.519 13.519
angles: 159.45 159.45 29.23
Fractional coordinates of all 11 atoms:
Pm1 0.197 0.197 0.000
Pm2 0.803 0.803 0.000
Th1 0.083 0.583 0.500
Th2 0.417 0.917 0.500
Th3 0.583 0.083 0.500
Th4 0.917 0.417 0.500
Sn1 0.322 0.322 0.000
Sn2 0.500 0.500 0.000
Sn3 0.678 0.678 0.000
N1 0.102 0.102 0.000
N2 0.898 0.898 0.000

Properties
M_tot ... 0.00 μB/f.u.
Energy relative to the elements, uncorrected ... -0.88 eV per atom
SG ... No. 139
DOS at the Fermi energy ... 8.1 states/eV per cell
ρ ... 8.74 g/cm3


No. 8
Compound: PmY2SnN
Source: Alexandria via LeMat-Bulk
Functional: PBE
Structure: relaxed

abc: 4.813 4.813 4.972
angles: 90.00 90.00 90.00
Fractional coordinates of all 5 atoms:
Pm1 0.000 0.000 0.000
Y1 0.000 0.500 0.500
Y2 0.500 0.000 0.500
Sn1 0.500 0.500 0.000
N1 0.000 0.000 0.500

Properties
M_tot ... 0.00 μB/f.u.
Energy relative to the elements, uncorrected ... -1.04 eV per atom
SG ... No. 123
DOS at the Fermi energy ... 2.2 states/eV per cell
ρ ... 6.57 g/cm3


No. 9
Compound: Pm2YSnN4
Source: Alexandria via LeMat-Bulk
Functional: PBE
Structure: relaxed

abc: 6.102 3.548 6.167
angles: 90.00 109.95 90.00
Fractional coordinates of all 8 atoms:
Pm1 0.000 0.000 0.000
Pm2 0.000 0.500 0.500
Y1 0.500 0.000 0.500
Sn1 0.500 0.500 0.000
N1 0.252 0.500 0.259
N2 0.254 0.000 0.747
N3 0.746 0.000 0.253
N4 0.748 0.500 0.741

Properties
M_tot ... 0.00 μB/f.u.
Energy relative to the elements, uncorrected ... -0.94 eV per atom
SG ... No. 10
DOS at the Fermi energy ... 4.0 states/eV per cell
ρ ... 7.33 g/cm3


No. 10
Compound: Pm2ZrSnN5
Source: Alexandria via LeMat-Bulk
Functional: PBE
Structure: relaxed

abc: 7.279 7.279 10.517
angles: 90.00 90.00 152.73
Fractional coordinates of all 18 atoms:
Pm1 0.114 0.886 0.500
Pm2 0.134 0.866 0.088
Pm3 0.866 0.134 0.588
Pm4 0.886 0.114 0.000
Zr1 0.221 0.779 0.806
Zr2 0.779 0.221 0.306
Sn1 0.479 0.521 0.274
Sn2 0.521 0.479 0.774
N1 0.059 0.941 0.868
N2 0.285 0.715 0.452
N3 0.309 0.691 0.174
N4 0.369 0.631 0.807
N5 0.499 0.501 0.579
N6 0.501 0.499 0.079
N7 0.631 0.369 0.307
N8 0.691 0.309 0.674
N9 0.715 0.285 0.952
N10 0.941 0.059 0.368

Properties
M_tot ... 0.00 μB/f.u.
Energy relative to the elements, uncorrected ... -0.84 eV per atom
SG ... No. 36
DOS at the Fermi energy ... 11.3 states/eV per cell
ρ ... 7.41 g/cm3


No. 11
Compound: Sr2Pm4N
Source: Alexandria via LeMat-Bulk
Functional: PBE
Structure: relaxed

abc: 5.150 5.150 19.208
angles: 90.00 90.00 90.00
Fractional coordinates of all 14 atoms:
Sr1 0.000 0.000 0.171
Sr2 0.000 0.000 0.829
Sr3 0.500 0.500 0.329
Sr4 0.500 0.500 0.671
Pm1 0.000 0.000 0.380
Pm2 0.000 0.000 0.620
Pm3 0.000 0.500 0.000
Pm4 0.000 0.500 0.500
Pm5 0.500 0.000 0.000
Pm6 0.500 0.000 0.500
Pm7 0.500 0.500 0.120
Pm8 0.500 0.500 0.880
N1 0.000 0.000 0.500
N2 0.500 0.500 0.000

Properties
M_tot ... 0.00 μB/f.u.
Energy relative to the elements, uncorrected ... -0.20 eV per atom
SG ... No. 139
DOS at the Fermi energy ... 24.7 states/eV per cell
ρ ... 5.01 g/cm3


No. 12
Compound: SrPmN2
Source: Alexandria via LeMat-Bulk
Functional: PBE
Structure: relaxed

abc: 3.684 3.684 18.297
angles: 90.00 90.00 120.00
Fractional coordinates of all 12 atoms:
Sr1 0.000 0.000 0.000
Sr2 0.333 0.667 0.667
Sr3 0.667 0.333 0.333
Pm1 0.000 0.000 0.500
Pm2 0.333 0.667 0.167
Pm3 0.667 0.333 0.833
N1 0.000 0.000 0.241
N2 0.000 0.000 0.759
N3 0.333 0.667 0.426
N4 0.333 0.667 0.907
N5 0.667 0.333 0.093
N6 0.667 0.333 0.574

Properties
M_tot ... 0.99 μB/f.u.
Energy relative to the elements, uncorrected ... -0.80 eV per atom
SG ... No. 166
DOS at the Fermi energy ... 10.9 states/eV per cell
ρ ... 6.04 g/cm3


No. 13
Compound: Sr2PmN
Source: Alexandria via LeMat-Bulk
Functional: PBE
Structure: relaxed

abc: 3.718 3.718 31.489
angles: 90.00 90.00 120.00
Fractional coordinates of all 12 atoms:
Sr1 0.000 0.000 0.122
Sr2 0.000 0.000 0.878
Sr3 0.333 0.667 0.545
Sr4 0.333 0.667 0.789
Sr5 0.667 0.333 0.211
Sr6 0.667 0.333 0.455
Pm1 0.000 0.000 0.000
Pm2 0.333 0.667 0.667
Pm3 0.667 0.333 0.333
N1 0.000 0.000 0.500
N2 0.333 0.667 0.167
N3 0.667 0.333 0.833

Properties
M_tot ... 0.00 μB/f.u.
Energy relative to the elements, uncorrected ... -0.25 eV per atom
SG ... No. 166
DOS at the Fermi energy ... 8.9 states/eV per cell
ρ ... 4.42 g/cm3


No. 14
Compound: Sr2PmTaN4
Source: Alexandria via LeMat-Bulk
Functional: PBE
Structure: relaxed

abc: 7.103 7.103 7.293
angles: 120.88 120.88 60.72
Fractional coordinates of all 16 atoms:
Sr1 0.000 0.000 0.000
Sr2 0.000 0.501 0.520
Sr3 0.002 0.002 0.503
Sr4 0.501 0.000 0.520
Pm1 0.002 0.502 0.023
Pm2 0.502 0.002 0.023
Ta1 0.498 0.498 0.060
Ta2 0.504 0.504 0.568
N1 0.277 0.717 0.223
N2 0.286 0.286 0.290
N3 0.286 0.725 0.734
N4 0.289 0.289 0.820
N5 0.713 0.713 0.745
N6 0.717 0.277 0.223
N7 0.718 0.718 0.221
N8 0.725 0.286 0.734

Properties
M_tot ... 0.00 μB/f.u.
Energy relative to the elements, uncorrected ... -1.08 eV per atom
SG ... No. 8
ρ ... 7.17 g/cm3


No. 15
Compound: SrPmTaN3
Source: Alexandria via LeMat-Bulk
Functional: PBE
Structure: relaxed

abc: 7.170 7.170 7.325
angles: 104.49 104.49 32.77
Fractional coordinates of all 12 atoms:
Sr1 0.152 0.152 0.076
Sr2 0.848 0.848 0.924
Pm1 0.157 0.157 0.580
Pm2 0.843 0.843 0.420
Ta1 0.499 0.499 0.716
Ta2 0.501 0.501 0.284
N1 0.005 0.005 0.301
N2 0.341 0.341 0.661
N3 0.349 0.349 0.186
N4 0.651 0.651 0.814
N5 0.659 0.659 0.339
N6 0.995 0.995 0.699

Properties
M_tot ... 0.00 μB/f.u.
Energy relative to the elements, uncorrected ... -1.07 eV per atom
SG ... No. 12
ρ ... 7.69 g/cm3


No. 16
Compound: Sr2PmTc2N6
Source: Alexandria via LeMat-Bulk
Functional: PBE
Structure: relaxed

abc: 6.127 6.127 7.073
angles: 118.19 118.19 60.18
Fractional coordinates of all 11 atoms:
Sr1 0.214 0.214 0.177
Sr2 0.786 0.786 0.823
Pm1 0.000 0.000 0.500
Tc1 0.469 0.469 0.798
Tc2 0.531 0.531 0.202
N1 0.193 0.674 0.205
N2 0.269 0.269 0.616
N3 0.326 0.807 0.795
N4 0.674 0.193 0.205
N5 0.731 0.731 0.384
N6 0.807 0.326 0.795

Properties
M_tot ... 0.00 μB/f.u.
Energy relative to the elements, uncorrected ... -0.61 eV per atom
SG ... No. 12
DOS at the Fermi energy ... 4.3 states/eV per cell
ρ ... 5.16 g/cm3


No. 17
Compound: SrPm3Th2N6
Source: Alexandria via LeMat-Bulk
Functional: PBE
Structure: relaxed

abc: 8.140 8.140 7.340
angles: 103.03 103.03 26.03
Fractional coordinates of all 12 atoms:
Sr1 0.000 0.000 0.000
Pm1 0.000 0.000 0.500
Pm2 0.334 0.334 0.165
Pm3 0.666 0.666 0.835
Th1 0.336 0.336 0.670
Th2 0.664 0.664 0.330
N1 0.170 0.170 0.578
N2 0.174 0.174 0.096
N3 0.492 0.492 0.729
N4 0.508 0.508 0.271
N5 0.826 0.826 0.904
N6 0.830 0.830 0.422

Properties
M_tot ... 0.00 μB/f.u.
Energy relative to the elements, uncorrected ... -1.41 eV per atom
SG ... No. 12
DOS at the Fermi energy ... 2.3 states/eV per cell
ρ ... 8.56 g/cm3


No. 18
Compound: Sr3Pm2UN6
Source: Alexandria via LeMat-Bulk
Functional: PBE
Structure: relaxed

abc: 6.277 6.277 6.394
angles: 99.46 99.46 119.98
Fractional coordinates of all 12 atoms:
Sr1 0.000 0.000 0.000
Sr2 0.334 0.666 0.000
Sr3 0.666 0.334 0.000
Pm1 0.167 0.833 0.500
Pm2 0.833 0.167 0.500
U1 0.500 0.500 0.500
N1 0.130 0.431 0.292
N2 0.269 0.269 0.705
N3 0.431 0.130 0.292
N4 0.569 0.870 0.708
N5 0.731 0.731 0.295
N6 0.870 0.569 0.708

Properties
M_tot ... 0.00 μB/f.u.
Energy relative to the elements, uncorrected ... -1.22 eV per atom
SG ... No. 12
ρ ... 7.05 g/cm3


No. 19
Compound: Sr2PmUN4
Source: Alexandria via LeMat-Bulk
Functional: PBE
Structure: relaxed

abc: 6.215 3.635 6.354
angles: 90.00 109.10 90.00
Fractional coordinates of all 8 atoms:
Sr1 0.000 0.000 0.000
Sr2 0.500 0.500 0.000
Pm1 0.000 0.500 0.500
U1 0.500 0.000 0.500
N1 0.272 0.000 0.700
N2 0.285 0.500 0.297
N3 0.715 0.500 0.703
N4 0.728 0.000 0.300

Properties
M_tot ... 0.83 μB/f.u.
Energy relative to the elements, uncorrected ... -1.21 eV per atom
SG ... No. 10
DOS at the Fermi energy ... 3.8 states/eV per cell
ρ ... 7.52 g/cm3


No. 20
Compound: SrPm2UN4
Source: Alexandria via LeMat-Bulk
Functional: PBE
Structure: relaxed

abc: 7.175 7.175 7.175
angles: 120.13 119.64 90.20
Fractional coordinates of all 16 atoms:
Sr1 0.500 0.000 0.000
Sr2 0.500 0.500 0.500
Pm1 0.000 0.000 0.000
Pm2 0.000 0.000 0.500
Pm3 0.000 0.500 0.000
Pm4 0.500 0.000 0.500
U1 0.000 0.500 0.500
U2 0.500 0.500 0.000
N1 0.203 0.715 0.488
N2 0.244 0.267 0.522
N3 0.244 0.722 0.978
N4 0.273 0.285 0.988
N5 0.727 0.715 0.012
N6 0.756 0.278 0.022
N7 0.756 0.733 0.478
N8 0.797 0.285 0.512

Properties
M_tot ... 0.97 μB/f.u.
Energy relative to the elements, uncorrected ... -1.26 eV per atom
SG ... No. 74
DOS at the Fermi energy ... 9.7 states/eV per cell
ρ ... 8.53 g/cm3